(1)
First-principles (GGA-PBE) data for a relaxed La2PrNdSe3O4 crystal, as listed in OQMD via LeMat-Bulk.

Calculated values
As for the space group: No. 38.

Cell: 8.4967 6.8417 6.8417 Å, 34.54 90.00 90.00°
Fractional coordinates of all 11 atoms:
La 0.2386 0.0000 0.0000
La 0.7614 0.0000 0.0000
Pr 0.0000 0.3154 0.3154
Nd 0.5000 0.3316 0.3316
Se 0.0000 0.6303 0.6303
Se 0.3513 0.6756 0.6756
Se 0.6487 0.6756 0.6756
O 0.0000 0.9038 0.9038
O 0.2452 0.4039 0.4039
O 0.5000 0.9292 0.9292
O 0.7548 0.4039 0.4039

---

(2)
First-principles (GGA-PBE) data for a relaxed La2PrNdSe3O4 crystal, as listed in OQMD via LeMat-Bulk.

Calculated values
As for the space group: No. 38.

Cell: 8.5044 6.8340 6.8340 Å, 34.61 90.00 90.00°
Fractional coordinates of all 11 atoms:
La 0.2376 0.0000 0.0000
La 0.7624 0.0000 0.0000
Pr 0.5000 0.3307 0.3307
Nd 0.0000 0.3166 0.3166
Se 0.0000 0.6319 0.6319
Se 0.3511 0.6742 0.6742
Se 0.6489 0.6742 0.6742
O 0.0000 0.9029 0.9029
O 0.2426 0.4036 0.4036
O 0.5000 0.9304 0.9304
O 0.7574 0.4036 0.4036

---

(3)
First-principles (GGA-PBE) data for a relaxed Rb2LaNdO4 crystal, as listed in OQMD via LeMat-Bulk.

Calculated values
As for the space group: No. 164.

Cell: 3.6643 3.6643 12.9666 Å, 90.00 90.00 120.00°
Fractional coordinates of all 8 atoms:
Rb 0.3333 0.6667 0.2481
Rb 0.6667 0.3333 0.7519
La 0.0000 0.0000 0.5000
Nd 0.0000 0.0000 0.0000
O 0.3333 0.6667 0.5942
O 0.3333 0.6667 0.9084
O 0.6667 0.3333 0.0916
O 0.6667 0.3333 0.4058

---

Looking at electronic total energy for the records above, in order, we have -7.325; -7.325; -6.506 eV/atom.